# 1
4
Lattice="-0.338 1.284 2.830 1.520 -2.415 1.277 5.763 3.219 -0.772" Properties=species:S:1:pos:R:3 comment="PBE-GGA Ta2TiCr, relaxed" crystal_system=tetragonal energy_ev_per_atom=-10.271 spacegroup="P4/mmm (123)" e_above_lowest_polymorph_mev_per_atom=0 total_magnetization_mub_per_cell=0.00 delta_e_f_ev_per_atom=0.0344 pbc="T T T"
Cr 0.591 -0.566 2.054
Ti 3.473 1.044 1.667
Ta 4.453 2.487 -0.597
Ta 1.310 0.732 -0.176

=====

# 2
8
Lattice="-4.763 -4.157 -2.419 -2.077 -1.292 6.311 -5.122 -0.691 1.803" Properties=species:S:1:pos:R:3 comment="PBE-GGA TaTiCr2, relaxed" crystal_system=tetragonal energy_ev_per_atom=-9.091 spacegroup="I-42d (122)" total_magnetization_mub_per_cell=0.00 delta_e_f_ev_per_atom=0.6580 pbc="T T T"
Cr -4.484 -2.904 -0.255
Cr -3.207 -1.529 4.076
Cr -6.421 -2.570 2.855
Cr -9.813 -5.277 4.715
Ti -3.420 -2.724 1.946
Ti -5.310 -2.354 5.030
Ta 0.000 0.000 0.000
Ta -6.653 -3.786 0.665

=====

# 3
4
Lattice="-2.315 -0.299 2.002 2.846 -0.888 3.158 0.271 4.231 0.945" Properties=species:S:1:pos:R:3 comment="PBE-GGA TaTiCr2, relaxed" crystal_system=tetragonal energy_ev_per_atom=-9.726 spacegroup="P4/mmm (123)" total_magnetization_mub_per_cell=1.23 delta_e_f_ev_per_atom=0.0221 pbc="T T T"
Cr 0.136 2.115 0.472
Cr 1.423 -0.444 1.579
Ti -1.157 -0.149 1.001
Ta 0.401 1.522 3.052

=====

# 4
8
Lattice="6.968 0.000 0.000 0.000 6.968 0.000 3.484 3.484 2.701" Properties=species:S:1:pos:R:3 comment="PBE-GGA TaTi2Cr, relaxed" crystal_system=tetragonal energy_ev_per_atom=-8.805 spacegroup="I-42d (122)" e_above_lowest_polymorph_mev_per_atom=441 total_magnetization_mub_per_cell=0.00 delta_e_f_ev_per_atom=0.5113 pbc="T T T"
Cr 3.484 3.484 0.000
Cr 3.484 6.968 1.351
Ti 4.987 1.742 0.675
Ti 1.981 5.226 0.675
Ti 5.226 5.465 2.026
Ti 8.710 8.471 2.026
Ta 0.000 0.000 0.000
Ta 6.968 3.484 1.351

=====

# 5
4
Lattice="3.190 0.000 0.000 0.000 4.494 0.000 0.000 0.000 4.494" Properties=species:S:1:pos:R:3 comment="PBE-GGA Ta2TiCr, relaxed" crystal_system=tetragonal energy_ev_per_atom=-10.219 spacegroup="P4/mmm (123)" e_above_lowest_polymorph_mev_per_atom=52 total_magnetization_mub_per_cell=0.00 delta_e_f_ev_per_atom=0.0867 pbc="T T T"
Cr 1.595 2.247 2.247
Ti 1.595 0.000 0.000
Ta 0.000 0.000 2.247
Ta 0.000 2.247 0.000

=====

# 6
4
Lattice="4.484 0.111 0.209 2.108 3.841 0.982 2.052 0.485 3.964" Properties=species:S:1:pos:R:3 comment="PBE-GGA TaTi2Cr, relaxed" crystal_system=cubic energy_ev_per_atom=-9.138 spacegroup="Fm-3m (225)" e_above_lowest_polymorph_mev_per_atom=108 total_magnetization_mub_per_cell=1.91 delta_e_f_ev_per_atom=0.1786 pbc="T T T"
Cr 0.000 0.000 0.000
Ti 2.161 1.109 1.289
Ti 6.482 3.328 3.866
Ta 4.322 2.218 2.578

=====

# 7
6
Lattice="-0.230 3.776 3.091 -3.172 -0.268 3.951 2.090 -0.477 4.598" Properties=species:S:1:pos:R:3 comment="PBE-GGA TaTiCr, relaxed" crystal_system=orthorhombic energy_ev_per_atom=-9.819 spacegroup="Imma (74)" e_above_lowest_polymorph_mev_per_atom=0 total_magnetization_mub_per_cell=0.00 delta_e_f_ev_per_atom=-0.0286 pbc="T T T"
Ta -0.605 3.034 5.899
Ta -0.706 -0.003 5.741
Ti -1.701 1.754 3.521
Ti 0.930 1.649 3.845
Cr 0.000 0.000 0.000
Cr -0.115 1.888 1.546

=====

# 8
4
Lattice="4.457 0.000 0.000 2.228 3.860 0.000 2.228 1.287 3.639" Properties=species:S:1:pos:R:3 comment="PBE-GGA TaTiCrW, relaxed" crystal_system=cubic energy_ev_per_atom=-10.551 spacegroup="F-43m (216)" total_magnetization_mub_per_cell=0.29 delta_e_f_ev_per_atom=0.0303 pbc="T T T"
Cr 0.000 0.000 0.000
Ti 2.228 1.287 0.910
W 4.457 2.573 1.819
Ta 6.685 3.860 2.729

=====

# 9
4
Lattice="2.965 0.000 0.000 -1.178 2.721 0.000 0.000 0.000 9.033" Properties=species:S:1:pos:R:3 comment="PBE-GGA Ta2TlCr, relaxed" crystal_system=orthorhombic energy_ev_per_atom=-8.551 spacegroup="Cmmm (65)" e_above_lowest_polymorph_mev_per_atom=53 total_magnetization_mub_per_cell=0.00 delta_e_f_ev_per_atom=0.3727 pbc="T T T"
Cr 0.894 1.360 6.775
Ta 0.000 0.000 8.704
Ta 0.000 0.000 4.845
Tl 0.894 1.360 2.258

=====

# 10
4
Lattice="-1.215 0.502 -4.274 -2.287 -3.262 0.267 -3.088 2.258 1.143" Properties=species:S:1:pos:R:3 comment="PBE-GGA Ta2TlCr, relaxed" crystal_system=tetragonal energy_ev_per_atom=-8.471 spacegroup="P4/mmm (123)" e_above_lowest_polymorph_mev_per_atom=133 total_magnetization_mub_per_cell=1.75 delta_e_f_ev_per_atom=0.4525 pbc="T T T"
Cr -2.151 1.380 -1.566
Ta 0.000 0.000 0.000
Ta -2.687 -0.502 0.705
Tl -1.751 -1.380 -2.004

=====

# 11
3
Lattice="6.640 -0.025 0.000 5.315 3.981 0.000 -5.978 -1.978 2.110" Properties=species:S:1:pos:R:3 comment="PBE-GGA TaTlCr, relaxed" crystal_system=tetragonal energy_ev_per_atom=-7.376 spacegroup="I4mm (107)" e_above_lowest_polymorph_mev_per_atom=96 total_magnetization_mub_per_cell=2.62 delta_e_f_ev_per_atom=0.5714 pbc="T T T"
Cr 0.118 0.039 0.000
Ta 7.776 2.573 0.000
Tl 4.060 1.344 0.000

=====

# 12
4
Lattice="5.407 -0.005 -0.002 2.405 4.843 0.002 -3.420 -3.204 2.698" Properties=species:S:1:pos:R:3 comment="PBE-GGA Ta2TlCr, relaxed" crystal_system=orthorhombic energy_ev_per_atom=-8.487 spacegroup="Imm2 (44)" e_above_lowest_polymorph_mev_per_atom=117 total_magnetization_mub_per_cell=0.00 delta_e_f_ev_per_atom=0.4370 pbc="T T T"
Cr 1.333 1.960 1.350
Ta 0.177 0.110 0.000
Ta 3.014 -0.353 1.348
Tl 3.773 2.337 0.000

=====

# 13
3
Lattice="-1.570 -0.267 -4.294 -3.921 -2.200 -0.872 -3.727 2.362 -1.226" Properties=species:S:1:pos:R:3 comment="PBE-GGA TaTlCr, relaxed" crystal_system=cubic energy_ev_per_atom=-6.640 spacegroup="F-43m (216)" e_above_lowest_polymorph_mev_per_atom=832 total_magnetization_mub_per_cell=2.53 delta_e_f_ev_per_atom=1.3077 pbc="T T T"
Cr -4.609 -0.052 -3.196
Ta -6.914 -0.078 -4.794
Tl 0.000 0.000 0.000

=====

# 14
4
Lattice="-0.471 -4.753 -2.320 0.004 -4.123 3.346 -2.561 4.515 -1.119" Properties=species:S:1:pos:R:3 comment="PBE-GGA Ta2TlCr, relaxed" crystal_system=orthorhombic energy_ev_per_atom=-8.536 spacegroup="Immm (71)" e_above_lowest_polymorph_mev_per_atom=68 total_magnetization_mub_per_cell=0.00 delta_e_f_ev_per_atom=0.3879 pbc="T T T"
Cr -1.395 -2.023 1.370
Ta -0.011 -0.205 0.024
Ta -0.223 -4.233 0.490
Tl -1.633 -2.338 -1.463

=====

# 15
4
Lattice="-2.015 -2.492 2.430 -0.613 -1.796 -2.350 4.509 -4.348 -0.720" Properties=species:S:1:pos:R:3 comment="PBE-GGA Ta2TlCr, relaxed" crystal_system=monoclinic energy_ev_per_atom=-8.489 spacegroup="P2/m (10)" e_above_lowest_polymorph_mev_per_atom=115 total_magnetization_mub_per_cell=0.00 delta_e_f_ev_per_atom=0.4350 pbc="T T T"
Cr 1.914 -5.854 -1.088
Ta 3.761 -5.893 -2.925
Ta 2.082 -3.322 -1.681
Tl -0.034 -2.782 0.447

=====

# 16
4
Lattice="5.192 -0.009 0.017 4.329 2.867 0.017 0.763 0.229 4.971" Properties=species:S:1:pos:R:3 comment="PBE-GGA Ta2TlCr, relaxed" crystal_system=monoclinic energy_ev_per_atom=-8.364 spacegroup="C2/m (12)" e_above_lowest_polymorph_mev_per_atom=239 total_magnetization_mub_per_cell=2.52 delta_e_f_ev_per_atom=0.5593 pbc="T T T"
Cr 2.571 0.772 1.251
Ta 9.514 2.855 0.100
Ta 5.150 1.546 2.436
Tl 7.713 2.315 3.753

=====

# 17
4
Lattice="9.122 -0.004 -0.003 8.597 3.050 -0.003 8.597 1.478 2.669" Properties=species:S:1:pos:R:3 comment="PBE-GGA Ta2TlCr, relaxed" crystal_system=trigonal energy_ev_per_atom=-8.399 spacegroup="R3m (160)" e_above_lowest_polymorph_mev_per_atom=205 total_magnetization_mub_per_cell=1.01 delta_e_f_ev_per_atom=0.5246 pbc="T T T"
Cr 19.543 3.360 1.978
Ta 0.177 0.030 0.018
Ta 6.739 1.159 0.682
Tl 13.016 2.238 1.317

=====

# 18
4
Lattice="4.445 0.000 0.000 0.000 2.986 -0.014 0.000 1.194 5.514" Properties=species:S:1:pos:R:3 comment="PBE-GGA Ta2TlCr, relaxed" crystal_system=monoclinic energy_ev_per_atom=-8.484 spacegroup="Pm (6)" e_above_lowest_polymorph_mev_per_atom=120 total_magnetization_mub_per_cell=0.00 delta_e_f_ev_per_atom=0.4398 pbc="T T T"
Cr 2.223 2.999 4.417
Ta 0.000 4.006 5.375
Ta 2.223 1.016 1.193
Tl 0.000 2.430 2.764

=====

# 19
4
Lattice="4.669 0.000 0.000 2.335 4.044 0.000 2.335 1.348 3.813" Properties=species:S:1:pos:R:3 comment="PBE-GGA Ta2TlCr, relaxed" crystal_system=cubic energy_ev_per_atom=-8.340 spacegroup="F-43m (216)" e_above_lowest_polymorph_mev_per_atom=263 total_magnetization_mub_per_cell=1.29 delta_e_f_ev_per_atom=0.5833 pbc="T T T"
Cr 4.669 2.696 1.906
Ta 0.000 0.000 0.000
Ta 2.335 1.348 0.953
Tl 7.004 4.044 2.859

=====

# 20
4
Lattice="0.000 3.282 3.282 3.282 0.000 3.282 3.282 3.282 0.000" Properties=species:S:1:pos:R:3 comment="PBE-GGA Ta2TlCr, relaxed" crystal_system=cubic energy_ev_per_atom=-8.266 spacegroup="Fm-3m (225)" e_above_lowest_polymorph_mev_per_atom=338 total_magnetization_mub_per_cell=0.00 delta_e_f_ev_per_atom=0.6576 pbc="T T T"
Cr 0.000 0.000 0.000
Tl 3.282 3.282 3.282
Ta 1.641 1.641 1.641
Ta 4.923 4.923 4.923